VASP calculation (GGA-PBE) on a relaxed structure of TiCOF2.

Energy relative to the lowest polymorph listed for this composition: 0.00 eV per formula unit
Uncorrected formation energy: -446 kJ/mol of formula units
Density of states at the Fermi level: 3.377 states/eV/cell
Mass density: 3.15 g/cm³
Space group: No. 123

Lattice parameters (Å, degrees): 3.970 3.970 3.808 90.00 90.00 90.00
Fractional positions:
Ti 0.000 0.000 0.000
C 0.500 0.500 0.500
O 0.000 0.000 0.500
F 0.000 0.500 0.000
F 0.500 0.000 0.000

VASP calculation (GGA-PBE) on a relaxed structure of Ta3Se4S2.

Uncorrected formation energy: -769 kJ/mol of formula units
Density of states at the Fermi level: 8.933 states/eV/cell
Mass density: 5.99 g/cm³
Space group: No. 187

Lattice parameters (Å, degrees): 3.428 3.428 25.120 90.00 90.00 120.00
Fractional positions:
Ta 0.000 0.000 0.000
Ta 0.333 0.667 0.273
Ta 0.333 0.667 0.727
Se 0.000 0.000 0.205
Se 0.000 0.000 0.340
Se 0.000 0.000 0.660
Se 0.000 0.000 0.795
S 0.333 0.667 0.061
S 0.333 0.667 0.939

VASP calculation (GGA-PBE) on a relaxed structure of Pm2Er3Tl2.

Density of states at the Fermi level: 6.694 states/eV/cell
Mass density: 9.60 g/cm³
Space group: No. 12

Lattice parameters (Å, degrees): 5.431 5.431 8.708 108.21 108.21 60.09
Fractional positions:
Pm 0.076 0.076 0.228
Pm 0.924 0.924 0.772
Er 0.347 0.347 0.041
Er 0.500 0.500 0.500
Er 0.653 0.653 0.959
Tl 0.217 0.217 0.652
Tl 0.783 0.783 0.348

VASP calculation (GGA-PBE) on a relaxed structure of PmThIrPd.

Energy relative to the lowest polymorph listed for this composition: 0.00 eV per formula unit
Density of states at the Fermi level: 2.669 states/eV/cell
Mass density: 11.74 g/cm³
Space group: No. 38

Lattice parameters (Å, degrees): 4.235 6.078 6.078 37.64 90.00 90.00
Fractional positions:
Pm 0.000 0.000 0.000
Th 0.500 0.275 0.275
Ir 0.000 0.741 0.741
Pd 0.500 0.554 0.554

The following magnetic moment values (in μB per formula unit) correspond, in order, to the records above: 2.0; 0.2; 0.0; 0.0.
The following electronic total energy values (in eV/atom) correspond, in order, to the records above: -6.088; -7.303; -4.184; -7.446.